# 1
Computed, not measured: a relaxed structure of CdIn2As2 at the PBE level of DFT.

Output
E   -30.5 eV per cell
ΔH_f (0 K)   84.8 meV per atom
Magnetization   0.00 μB per formula unit
Space-group type   P4/mbm

a = 7.8472 Å, b = 7.8472 Å, c = 3.9150 Å
α = 90.00°, β = 90.00°, γ = 90.00°
Last column: nearest neighbours and their distance in Å.
Positions (direct):
Cd  0.0000  0.0000  0.0000  4 As 2.92
Cd  0.5000  0.5000  0.0000  4 As 2.92
In  0.1433  0.3567  0.5000  6 As 2.88-3.13, 1 In 3.18
In  0.3567  0.8567  0.5000  6 As 2.88-3.13, 1 In 3.18
In  0.6433  0.1433  0.5000  6 As 2.88-3.13, 1 In 3.18
In  0.8567  0.6433  0.5000  6 As 2.88-3.13, 1 In 3.18
As  0.1667  0.6667  0.0000  6 In 2.88-3.13, 2 Cd 2.92
As  0.3333  0.1667  0.0000  6 In 2.88-3.13, 2 Cd 2.92
As  0.6667  0.8333  0.0000  6 In 2.88-3.13, 2 Cd 2.92
As  0.8333  0.3333  0.0000  6 In 2.88-3.13, 2 Cd 2.92

***

# 2
Computed, not measured: a relaxed structure of LaNbCd3 at the PBE level of DFT.

Output
E   -9.1 eV per cell
ΔH_f (0 K)   1734.9 meV per atom
Magnetization   1.01 μB per formula unit
Space-group type   Pm-3m
E above lowest polymorph   1.226 eV/atom

a = 5.7299 Å, b = 5.7299 Å, c = 5.7299 Å
α = 90.00°, β = 90.00°, γ = 90.00°
Last column: nearest neighbours and their distance in Å.
Positions (direct):
La  0.0000  0.0000  0.0000  6 Cd 2.86
Nb  0.5000  0.5000  0.5000  12 Cd 4.05
Cd  0.0000  0.0000  0.5000  2 La 2.86
Cd  0.0000  0.5000  0.0000  2 La 2.86
Cd  0.5000  0.0000  0.0000  2 La 2.86